{
  "formula": "NaSr2ZrIn",
  "functional": "PBE",
  "state": "optimized geometry",
  "magmom_total_mub_per_fu": 2.9,
  "spacegroup": "P4/mmm, No. 123",
  "delta_e_f_ev_per_atom": 0.721,
  "lattice": [[6.308, 0.000, 0.000], [0.000, 5.565, 0.000], [0.000, 0.000, 6.308]],
  "species": ["Sr", "In", "Sr", "Zr", "Na"],
  "frac_coords": [[0.000, 0.000, 0.500], [0.000, 0.000, 0.000], [0.500, 0.000, 0.000], [0.500, 0.500, 0.500], [0.000, 0.500, 0.000]]
}

{
  "formula": "NaTa2In",
  "functional": "PBE",
  "state": "optimized geometry",
  "de_polymorph_kj_per_mol_atoms": 0.0,
  "magmom_total_mub_per_fu": 0.0,
  "spacegroup": "Fm-3m, No. 225",
  "delta_e_f_ev_per_atom": 0.945,
  "lattice": [[-0.323, -4.748, -0.574], [0.208, -2.895, 3.815], [-3.928, -2.329, 1.458]],
  "species": ["Ta", "In", "Ta", "Na"],
  "frac_coords": [[0.250, 0.250, 0.250], [0.500, 0.500, 0.500], [0.750, 0.750, 0.750], [0.000, 0.000, 0.000]]
}

{
  "formula": "Na3TaIn",
  "functional": "PBE",
  "state": "optimized geometry",
  "de_polymorph_kj_per_mol_atoms": 0.0,
  "magmom_total_mub_per_fu": 3.3,
  "spacegroup": "Pm-3m, No. 221",
  "delta_e_f_ev_per_atom": 1.402,
  "lattice": [[-0.660, 1.713, -5.305], [4.066, -3.507, -1.638], [-3.814, -4.035, -0.828]],
  "species": ["Na", "Ta", "Na", "In", "Na"],
  "frac_coords": [[0.000, 0.500, 0.000], [0.500, 0.500, 0.500], [0.500, 0.000, 0.000], [0.000, 0.000, 0.000], [0.000, 0.000, 0.500]]
}

{
  "formula": "NaTa3In",
  "functional": "PBE",
  "state": "optimized geometry",
  "de_polymorph_kj_per_mol_atoms": 9.9,
  "magmom_total_mub_per_fu": 0.0,
  "spacegroup": "Pm-3m, No. 221",
  "delta_e_f_ev_per_atom": 2.180,
  "lattice": [[5.120, 0.000, 0.000], [0.000, 5.120, 0.000], [0.000, 0.000, 5.120]],
  "species": ["Ta", "Na", "In", "Ta", "Ta"],
  "frac_coords": [[0.500, 0.000, 0.000], [0.500, 0.500, 0.500], [0.000, 0.000, 0.000], [0.000, 0.000, 0.500], [0.000, 0.500, 0.000]]
}

{
  "formula": "NaTa3In",
  "functional": "PBE",
  "state": "optimized geometry",
  "de_polymorph_kj_per_mol_atoms": 0.0,
  "magmom_total_mub_per_fu": 0.0,
  "spacegroup": "Pm-3m, No. 221",
  "delta_e_f_ev_per_atom": 2.077,
  "lattice": [[-0.675, -3.100, -3.469], [0.947, -3.523, 2.964], [-4.554, -0.273, 1.130]],
  "species": ["In", "Ta", "Ta", "Ta", "Na"],
  "frac_coords": [[0.500, 0.500, 0.500], [0.500, 0.000, 0.000], [0.000, 0.000, 0.500], [0.000, 0.500, 0.000], [0.000, 0.000, 0.000]]
}

{
  "formula": "Na3TaIn",
  "functional": "PBE",
  "state": "optimized geometry",
  "de_polymorph_kj_per_mol_atoms": 4.0,
  "magmom_total_mub_per_fu": 4.6,
  "spacegroup": "Pm-3m, No. 221",
  "delta_e_f_ev_per_atom": 1.444,
  "lattice": [[-1.670, 5.535, 1.162], [-1.239, 0.824, -5.706], [-5.518, -1.860, 0.930]],
  "species": ["Na", "Na", "Ta", "In", "Na"],
  "frac_coords": [[0.500, 0.000, 0.000], [0.000, 0.000, 0.500], [0.000, 0.000, 0.000], [0.500, 0.500, 0.500], [0.000, 0.500, 0.000]]
}

{
  "formula": "NaTaIn3",
  "functional": "PBE",
  "state": "optimized geometry",
  "de_polymorph_kj_per_mol_atoms": 0.0,
  "magmom_total_mub_per_fu": 0.0,
  "spacegroup": "Pm-3m, No. 221",
  "delta_e_f_ev_per_atom": 0.430,
  "lattice": [[-2.620, 0.940, 4.694], [-4.735, -1.300, -2.382], [0.708, -5.216, 1.439]],
  "species": ["In", "In", "In", "Na", "Ta"],
  "frac_coords": [[0.500, 0.000, 0.000], [0.000, 0.000, 0.500], [0.000, 0.500, 0.000], [0.500, 0.500, 0.500], [0.000, 0.000, 0.000]]
}

{
  "formula": "NaTa2In",
  "functional": "PBE",
  "state": "optimized geometry",
  "de_polymorph_kj_per_mol_atoms": 21.4,
  "magmom_total_mub_per_fu": 0.0,
  "spacegroup": "I-42d, No. 122",
  "delta_e_f_ev_per_atom": 1.166,
  "lattice": [[7.954, 0.000, 0.000], [0.000, 7.954, 0.000], [3.977, 3.977, 2.714]],
  "species": ["Na", "In", "Ta", "In", "Ta", "Ta", "Ta", "Na"],
  "frac_coords": [[0.500, 0.500, 0.000], [0.000, 0.000, 0.000], [0.875, 0.883, 0.750], [0.750, 0.250, 0.500], [0.375, 0.367, 0.750], [0.633, 0.125, 0.250], [0.117, 0.625, 0.250], [0.250, 0.750, 0.500]]
}

Energy, respectively: -12.4, -24.0, -11.5, -28.7, -29.2, -11.3, -19.2, -46.2 eV/cell.